1.
Computed, not measured: crystalline Er2AgPd at its relaxed geometry at the PBE level of DFT.

```
Er2AgPd
1.0
-3.577 1.704 0.869
-2.998 -0.073 -2.731
-4.453 -5.554 2.025
Er Ag Pd
2 1 1
Cartesian
-2.704 -0.837 -0.022
-8.324 -3.086 0.185
-5.514 -1.962 0.081
0.000 0.000 0.000
```

Summary:
As for the formation energy: -0.464 eV/atom. The volume is 100 Å³/f.u. The density of states at the Fermi level is 0.3528 states/eV/atom. For the total energy, the calculation gives -0.34959 Ry/atom. For the density, the calculation gives 9.11 Mg/m³. The symmetry is R-3m, No. 166.


2.
Computed, not measured: crystalline Tl2Ga6Hg at its relaxed geometry at the PBE level of DFT.

```
Tl2Ga6Hg
1.0
-3.697 4.279 -2.249
-2.426 -0.680 -5.540
-5.025 -2.992 2.567
Ga Tl Hg
6 2 1
Cartesian
-2.854 -0.390 -0.514
-3.965 -0.701 -3.051
-8.293 0.998 -4.707
-7.183 1.309 -2.170
-4.547 1.570 -1.544
-6.601 -0.962 -3.677
-6.435 -1.417 -0.351
-4.712 2.024 -4.870
0.000 0.000 0.000
```

Summary:
As for the formation energy: 0.033 eV/atom. The volume is 205 Å³/f.u. The density of states at the Fermi level is 0.4131 states/eV/atom. For the total energy, the calculation gives -0.18702 Ry/atom. For the density, the calculation gives 8.33 Mg/m³. The symmetry is P-3m1, No. 164.


3.
Computed, not measured: crystalline Tb2ErThAs4 at its relaxed geometry at the PBE level of DFT.

```
Tb2ErThAs4
1.0
4.164 0.000 0.000
0.000 7.198 -0.144
0.000 2.532 6.728
As Th Tb Er
4 1 2 1
Cartesian
0.000 7.305 4.900
4.164 2.424 1.685
2.082 6.037 1.603
2.082 3.693 4.982
2.082 3.599 -0.072
0.000 2.532 6.728
2.082 1.266 3.364
0.000 4.865 3.292
```

Summary:
As for the formation energy: -1.513 eV/atom. The volume is 203 Å³/f.u. The density of states at the Fermi level is 0.1869 states/eV/atom. For the total energy, the calculation gives -0.47723 Ry/atom. For the density, the calculation gives 8.31 Mg/m³. The symmetry is P2/m, No. 10.


4.
Computed, not measured: crystalline TiBe4O2 at its relaxed geometry at the PBE level of DFT.

```
TiBe4O2
1.0
-1.132 -3.406 -2.652
4.248 -0.393 -1.308
2.452 -5.237 1.926
Be O Ti
4 2 1
Cartesian
2.124 -0.196 -0.654
-0.566 -1.703 -1.326
3.558 -5.447 -2.032
2.011 -3.590 -0.002
3.806 -6.371 -0.950
1.764 -2.666 -1.083
0.000 0.000 0.000
```

Summary:
The volume is 104 Å³/f.u. The density of states at the Fermi level is 0.3939 states/eV/atom. For the total energy, the calculation gives -0.29395 Ry/atom. For the density, the calculation gives 1.85 Mg/m³. Its formation energy (no corrections) is 4.72 eV per formula unit. The symmetry is I4/mmm, No. 139.


5.
Computed, not measured: crystalline BaIrCl2 at its relaxed geometry at the PBE level of DFT.

```
BaIrCl2
1.0
6.509 0.000 0.000
3.763 5.311 0.000
-5.136 -2.655 2.989
Ba Cl Ir
1 2 1
Cartesian
3.254 0.000 1.495
1.882 2.655 1.495
0.000 0.000 0.000
5.136 2.655 0.000
```

Summary:
The volume is 103 Å³/f.u. The density of states at the Fermi level is 1.7311 states/eV/atom. For the total energy, the calculation gives -0.28976 Ry/atom. For the density, the calculation gives 6.44 Mg/m³. Its formation energy (no corrections) is -1.29 eV per formula unit. The symmetry is I-4m2, No. 119.


6.
Computed, not measured: crystalline Ac5Al2Pb5 at its relaxed geometry at the PBE level of DFT.

```
Ac5Al2Pb5
1.0
4.623 0.000 1.138
2.239 8.582 0.863
-0.080 -0.208 10.285
Pb Ac Al
5 5 2
Cartesian
2.632 5.775 9.225
0.000 0.000 0.000
6.039 6.570 5.344
0.743 1.805 6.942
4.150 2.600 3.061
5.271 7.830 8.466
2.387 2.392 10.223
3.391 4.187 6.143
1.511 0.544 3.820
4.395 5.982 2.063
1.698 4.038 3.062
5.084 4.336 9.224
```

Summary:
As for the formation energy: -0.457 eV/atom. The volume is 409 Å³/f.u. The density of states at the Fermi level is 0.5586 states/eV/atom. For the total energy, the calculation gives -0.31884 Ry/atom. For the density, the calculation gives 9.03 Mg/m³. The symmetry is C2/m, No. 12.